DFT (GGA-PBE) results for crystalline RbLaTcO5 at its relaxed geometry.

Calculated values
calculated volume	20.5	Å³ per atom
space group	C2/c, No. 15
electronic total energy	-0.266	hartree per atom

a b c (Å): 6.6753 6.6753 8.3577
angles (deg): 103.12 103.12 107.32
Last column: magnetic moment on the atom in μB.
Sites, in units of the cell vectors:
Rb  0.6748  0.3252  0.7500  0.00
O  0.9296  0.0704  0.7500  0.00
Tc  0.3202  0.6798  0.7500  0.64
O  0.2562  0.4144  0.5989  0.06
Rb  0.3252  0.6748  0.2500  0.00
La  0.0000  0.0000  0.0000  0.02
O  0.8668  0.3068  0.1269  0.06
O  0.5856  0.7438  0.9011  0.06
O  0.4144  0.2562  0.0989  0.06
Tc  0.6798  0.3202  0.2500  0.64
La  0.0000  0.0000  0.5000  0.02
O  0.0704  0.9296  0.2500  0.00
O  0.1332  0.6932  0.8731  0.06
O  0.3068  0.8668  0.6269  0.06
O  0.7438  0.5856  0.4011  0.06
O  0.6932  0.1332  0.3731  0.06